{
  "formula": "UCdSi2O8",
  "functional": "PBE-GGA",
  "state": "optimized geometry",
  "formation_energy_uncorrected_ev_per_atom": -2.47,
  "total_magnetization_mub_per_fu": 0.00,
  "sg": "No. 119",
  "energy_ev_per_atom": -7.700,
  "lattice": [[-3.4508, 3.4508, 3.0923], [3.4508, -3.4508, 3.0923], [3.4508, 3.4508, -3.0923]],
  "species": ["U", "Cd", "Si", "Si", "O", "O", "O", "O", "O", "O", "O", "O"],
  "frac_coords": [[0.0000, 0.0000, 0.0000], [0.7500, 0.2500, 0.5000], [0.2500, 0.7500, 0.5000], [0.5000, 0.5000, 0.0000], [0.0905, 0.3982, 0.3077], [0.0905, 0.7829, 0.6923], [0.1445, 0.3192, 0.8253], [0.2171, 0.9095, 0.3077], [0.4939, 0.3192, 0.1747], [0.6018, 0.9095, 0.6923], [0.6808, 0.5061, 0.8253], [0.6808, 0.8555, 0.1747]]
}